Computed, not measured: a geometry-optimized K2VAs2O6 structure at the PBE with a Hubbard U level of DFT.

DFT total energy   -65.6 eV/cell

```
data_K2VAs2O6
_chemical_formula_sum 'K2 V1 As2 O6'
_cell_length_a 5.6051
_cell_length_b 5.6051
_cell_length_c 8.7367
_cell_angle_alpha 71.29
_cell_angle_beta 71.29
_cell_angle_gamma 60.00
_symmetry_space_group_name_H-M 'P 1'
_symmetry_Int_Tables_number 1
loop_
_symmetry_equiv_pos_as_xyz
'x,y,z'
loop_
_atom_site_label
_atom_site_type_symbol
_atom_site_fract_x
_atom_site_fract_y
_atom_site_fract_z
O1 O 0.7106 0.2145 0.8603
O2 O 0.7855 0.7855 0.1397
O3 O 0.2894 0.7855 0.1397
O4 O 0.7855 0.2894 0.1397
O5 O 0.2145 0.7106 0.8603
O6 O 0.2145 0.2145 0.8603
K1 K 0.2784 0.2784 0.1649
K2 K 0.7216 0.7216 0.8351
As1 As 0.5867 0.5867 0.2399
As2 As 0.4133 0.4133 0.7601
V1 V 0.0000 0.0000 0.0000
```